A relaxed structure of FePBr2. Source: Alexandria, functional PBE.

Calculated values
raw formation energy: 0.000 eV per atom
energy: -4.304 eV per atom
M_tot: 1.90 μB/f.u.

Cell: 3.472 5.260 6.413 Å, 72.45 90.00 90.00°
Positions (direct):
Fe: 0.000 0.434 0.605
Br: 0.000 0.051 0.898
Br: 0.500 0.361 0.345
P: 0.500 0.654 0.652